Computed, not measured: a relaxed structure of YTmAl4Ni2 at the PBE level of DFT.

The space group is Amm2 (No. 38) and the conventional cell measures 6.8756, 4.0537 and 10.1338 Å, with angles of 90.00, 90.00 and 90.00 degrees. Symmetry generates all atoms from Y at (0.0000, 0.0000, 0.0000), Tm at (0.5000, 0.0000, 0.8775), Al at (0.1966, 0.0000, 0.2830), Al at (0.3051, 0.0000, 0.5952), Ni at (0.0000, 0.0000, 0.7227) and Ni at (0.5000, 0.0000, 0.1540).

For the total DFT energy (no corrections), the calculation gives -5.283 eV/atom. Its crystal system is orthorhombic.